[1]
Compound: KMg2Sc
Source: Alexandria
Functional: PBE-GGA
Structure: relaxed

It has space group P4mm (No. 99), with a = 3.442 Å, b = 3.442 Å, c = 10.350 Å, α = 90.00°, β = 90.00° and γ = 90.00°. Symmetry generates all atoms from K at (0.000, 0.000, 0.000), Mg at (0.000, 0.000, 0.485), Mg at (0.500, 0.500, 0.298) and Sc at (0.500, 0.500, 0.675).

For the total magnetic moment, the calculation gives 0.121 μB/atom. The formation energy is 0.251 eV/atom. The excess energy over the best structure of this formula in the dataset is 87.0 meV/atom.


[2]
Compound: HgPdPtPb
Source: Alexandria
Functional: PBE-GGA
Structure: relaxed

It has space group F-43m (No. 216), with a = 6.772 Å, b = 6.772 Å, c = 6.772 Å, α = 90.00°, β = 90.00° and γ = 90.00°. Symmetry generates all atoms from Hg at (0.000, 0.000, 0.000), Pd at (0.250, 0.250, 0.250), Pt at (0.250, 0.250, 0.750) and Pb at (0.000, 0.000, 0.500).

For the total magnetic moment, the calculation gives 0.000 μB/atom. The formation energy is -0.062 eV/atom.


[3]
Compound: DyHoMg6
Source: Alexandria
Functional: PBE-GGA
Structure: relaxed

It has space group Amm2 (No. 38), with a = 5.074 Å, b = 7.282 Å, c = 10.896 Å, α = 90.00°, β = 90.00° and γ = 90.00°. Symmetry generates all atoms from Dy at (0.000, 0.000, 0.000), Ho at (0.500, 0.000, 0.262), Mg at (0.000, 0.000, 0.462), Mg at (0.000, 0.217, 0.731), Mg at (0.500, 0.000, 0.799) and Mg at (0.500, 0.217, 0.531).

For the total magnetic moment, the calculation gives 0.000 μB/atom. The formation energy is -0.068 eV/atom.


[4]
Compound: LiRe2Ru
Source: Alexandria
Functional: PBE-GGA
Structure: relaxed

It has space group Pm (No. 6), with a = 2.680 Å, b = 4.214 Å, c = 4.963 Å, α = 90.00°, β = 97.72° and γ = 90.00°. Symmetry generates all atoms from Li at (0.000, 0.000, 0.000), Re at (0.494, 0.000, 0.500), Re at (0.676, 0.500, 0.225) and Ru at (0.138, 0.500, 0.752).

For the total magnetic moment, the calculation gives 0.000 μB/atom. The formation energy is 0.181 eV/atom. The excess energy over the best structure of this formula in the dataset is 54.5 meV/atom.


[5]
Compound: CaTlCdIn
Source: Alexandria
Functional: PBE-GGA
Structure: relaxed

It has space group F-43m (No. 216), with a = 7.518 Å, b = 7.518 Å, c = 7.518 Å, α = 90.00°, β = 90.00° and γ = 90.00°. Symmetry generates all atoms from Ca at (0.000, 0.000, 0.000), Tl at (0.250, 0.250, 0.250), Cd at (0.000, 0.000, 0.500) and In at (0.250, 0.250, 0.750).

For the total magnetic moment, the calculation gives 0.000 μB/atom. The formation energy is -0.237 eV/atom. The excess energy over the best structure of this formula in the dataset is 12.9 meV/atom.


[6]
Compound: SiTcOs2
Source: Alexandria
Functional: PBE-GGA
Structure: relaxed

It has space group R-3m (No. 166, hexagonal axes), with a = 2.7676 Å, b = 2.7676 Å, c = 25.1947 Å, α = 90.00°, β = 90.00° and γ = 120.00°. Symmetry generates all atoms from Si at (0.0000, 0.0000, 0.0000), Tc at (0.0000, 0.0000, 0.5000) and Os at (0.0000, 0.0000, 0.2542).

For the total magnetic moment, the calculation gives 0.000 μB/atom. The calculation puts the energy relative to the elements, uncorrected at -0.13 eV per formula unit.


[7]
Compound: Ac2NdSn2
Source: Alexandria
Functional: PBE-GGA
Structure: relaxed

It has space group Immm (No. 71), with a = 4.901 Å, b = 7.144 Å, c = 10.201 Å, α = 90.00°, β = 90.00° and γ = 90.00°. Symmetry generates all atoms from Ac at (0.000, 0.000, 0.203), Nd at (0.000, 0.500, 0.000) and Sn at (0.000, 0.287, 0.500).

For the total magnetic moment, the calculation gives 0.000 μB/atom. The formation energy is -0.635 eV/atom. The excess energy over the best structure of this formula in the dataset is 0.0 meV/atom.


[8]
Compound: TbPm2Nd7
Source: Alexandria
Functional: PBE-GGA
Structure: relaxed

It has space group Cmmm (No. 65), with a = 8.797 Å, b = 17.050 Å, c = 5.518 Å, α = 90.00°, β = 90.00° and γ = 90.00°. Symmetry generates all atoms from Tb at (0.000, 0.000, 0.000), Pm at (0.000, 0.295, 0.500), Nd at (0.000, 0.213, 0.000), Nd at (0.000, 0.500, 0.500) and Nd at (0.181, 0.110, 0.500).

For the total magnetic moment, the calculation gives 0.000 μB/atom. The formation energy is 0.624 eV/atom. The excess energy over the best structure of this formula in the dataset is 255.1 meV/atom.


| no. | total DFT energy (no corrections) (eV per cell) |
| --- | --- |
| 1 | -9.615 |
| 2 | -61.970 |
| 3 | -38.588 |
| 4 | -35.361 |
| 5 | -35.877 |
| 6 | -115.131 |
| 7 | -48.330 |
| 8 | -82.541 |